A plane-wave DFT calculation with PBE was carried out for a relaxed CeGeOs2C crystal.

It has space group Cmcm (No. 63), with a = 4.0224 Å, b = 11.2245 Å, c = 7.2671 Å, α = 90.00°, β = 90.00° and γ = 90.00°. The asymmetric unit holds Ce at (0.0000, 0.0513, 0.2500), Ge at (0.0000, 0.2304, 0.7500), Os at (0.0000, 0.3367, 0.0580) and C at (0.0000, 0.5000, 0.0000).

The calculated volume comes out at 328.1 Å³/cell. The energy of formation is -156 kJ/mol of formula units.